Record 1
DFT (PBE) results for a geometry-optimized Tm2PaBC4 structure.

a = 6.150 Å, b = 6.150 Å, c = 10.421 Å
α = 90.00°, β = 90.00°, γ = 148.17°
Positions (direct):
Tm (0.135, 0.865, 0.540)
Tm (0.135, 0.865, 0.960)
Tm (0.865, 0.135, 0.040)
Tm (0.865, 0.135, 0.460)
Pa (0.433, 0.567, 0.750)
Pa (0.567, 0.433, 0.250)
B (0.344, 0.656, 0.250)
B (0.656, 0.344, 0.750)
C (0.077, 0.923, 0.750)
C (0.222, 0.778, 0.178)
C (0.222, 0.778, 0.322)
C (0.500, 0.500, 0.000)
C (0.500, 0.500, 0.500)
C (0.778, 0.222, 0.678)
C (0.778, 0.222, 0.822)
C (0.923, 0.077, 0.250)

Record 2
DFT (PBE) results for a geometry-optimized Zr2PaBC4 structure.

a = 5.666 Å, b = 5.666 Å, c = 10.928 Å
α = 90.00°, β = 90.00°, γ = 145.97°
Positions (direct):
Zr (0.135, 0.865, 0.554)
Zr (0.135, 0.865, 0.946)
Zr (0.865, 0.135, 0.054)
Zr (0.865, 0.135, 0.446)
Pa (0.406, 0.594, 0.750)
Pa (0.594, 0.406, 0.250)
B (0.320, 0.680, 0.250)
B (0.680, 0.320, 0.750)
C (0.067, 0.933, 0.750)
C (0.230, 0.770, 0.133)
C (0.230, 0.770, 0.367)
C (0.500, 0.500, 0.000)
C (0.500, 0.500, 0.500)
C (0.770, 0.230, 0.633)
C (0.770, 0.230, 0.867)
C (0.933, 0.067, 0.250)

Record 3
DFT (PBE) results for a geometry-optimized B2PbC structure.

a = 5.540 Å, b = 5.540 Å, c = 5.540 Å
α = 130.55°, β = 130.55°, γ = 72.53°
Positions (direct):
B (0.375, 0.219, 0.344)
B (0.781, 0.125, 0.156)
B (0.875, 0.031, 0.656)
B (0.969, 0.625, 0.844)
Pb (0.250, 0.750, 0.500)
Pb (0.500, 0.500, 0.000)
C (0.000, 0.000, 0.000)
C (0.750, 0.250, 0.500)

Record 4
DFT (PBE) results for a geometry-optimized BPbC3 structure.

a = 4.512 Å, b = 4.512 Å, c = 4.512 Å
α = 90.00°, β = 90.00°, γ = 90.00°
Positions (direct):
B (0.000, 0.000, 0.000)
Pb (0.500, 0.500, 0.500)
C (0.000, 0.500, 0.500)
C (0.500, 0.000, 0.500)
C (0.500, 0.500, 0.000)

Calculated density (g/cm3), listed in the same order as above: 10.03 7.99 8.34 4.59
Calculated E_tot (eV/atom), listed in the same order as above: -7.92 -9.15 -5.68 -3.30